# 1
# Ce2MgN3 | the Alexandria database | GGA-PBE | relaxed
# Total magnetization   0.10 μB/atom
data_Ce2MgN3
_space_group_name_H-M_alt 'I 4/m m m'
_space_group_IT_number 139
_space_group_name_Hall '-I 4 2'
_cell_length_a 3.523
_cell_length_b 3.523
_cell_length_c 14.263
_cell_angle_alpha 90.00
_cell_angle_beta 90.00
_cell_angle_gamma 90.00
loop_
_atom_site_label
_atom_site_type_symbol
_atom_site_fract_x
_atom_site_fract_y
_atom_site_fract_z
_atom_site_occupancy
Ce1 Ce 0.000 0.000 0.158 1
Mg1 Mg 0.000 0.000 0.500 1
N1 N 0.000 0.000 0.000 1
N2 N 0.000 0.000 0.337 1



# 2
# Ce3MgN4 | the Alexandria database | GGA-PBE | relaxed
# Total magnetization   0.02 μB/atom
data_Ce3MgN4
_space_group_name_H-M_alt 'P 4/m m m'
_space_group_IT_number 123
_space_group_name_Hall '-P 4 2'
_cell_length_a 3.530
_cell_length_b 3.530
_cell_length_c 9.652
_cell_angle_alpha 90.00
_cell_angle_beta 90.00
_cell_angle_gamma 90.00
loop_
_atom_site_label
_atom_site_type_symbol
_atom_site_fract_x
_atom_site_fract_y
_atom_site_fract_z
_atom_site_occupancy
Ce1 Ce 0.000 0.000 0.000 1
Ce2 Ce 0.500 0.500 0.267 1
Mg1 Mg 0.000 0.000 0.500 1
N1 N 0.000 0.000 0.262 1
N2 N 0.500 0.500 0.000 1
N3 N 0.500 0.500 0.500 1



# 3
# CeMgN | the Alexandria database | GGA-PBE | relaxed
# Total magnetization   0.20 μB/atom
data_CeMgN
_space_group_name_H-M_alt 'P 4/n m m'
_space_group_IT_number 129
_cell_length_a 3.591
_cell_length_b 3.591
_cell_length_c 8.470
_cell_angle_alpha 90.00
_cell_angle_beta 90.00
_cell_angle_gamma 90.00
loop_
_space_group_symop_operation_xyz
'x,y,z'
'-x,-y,-z'
'-y+1/2,x,z'
'y+1/2,-x,-z'
'-x+1/2,-y+1/2,z'
'x+1/2,y+1/2,-z'
'y,-x+1/2,z'
'-y,x+1/2,-z'
'x+1/2,-y,-z'
'-x+1/2,y,z'
'-y,-x,-z'
'y,x,z'
'-x,y+1/2,-z'
'x,-y+1/2,z'
'y+1/2,x+1/2,-z'
'-y+1/2,-x+1/2,z'
loop_
_atom_site_label
_atom_site_type_symbol
_atom_site_fract_x
_atom_site_fract_y
_atom_site_fract_z
_atom_site_occupancy
Ce1 Ce 0.250 0.250 0.142 1
Mg1 Mg 0.250 0.250 0.598 1
N1 N 0.250 0.250 0.854 1



# 4
# Ce2MgN | the Alexandria database | GGA-PBE | relaxed
# Total magnetization   0.45 μB/atom
data_Ce2MgN
_space_group_name_H-M_alt 'R -3 m'
_space_group_IT_number 166
_space_group_name_Hall '-R 3 2"'
_cell_length_a 3.3669
_cell_length_b 3.3669
_cell_length_c 29.4448
_cell_angle_alpha 90.00
_cell_angle_beta 90.00
_cell_angle_gamma 120.00
loop_
_atom_site_label
_atom_site_type_symbol
_atom_site_fract_x
_atom_site_fract_y
_atom_site_fract_z
_atom_site_occupancy
Ce1 Ce 0.0000 0.0000 0.1176 1
Mg1 Mg 0.0000 0.0000 0.0000 1
N1 N 0.0000 0.0000 0.5000 1



One value per record, in order, for energy relative to the elements, uncorrected: -1.218, -1.290, -0.912, -0.562 eV/atom.
One value per record, in order, for Fermi-level density of states: 8.59, 5.52, 6.83, 20.56 states/eV per cell.